# MnGa3Ag

A geometry-optimized MnGa3Ag structure (PBEsol, Alexandria).

a b c (Å): 4.5214 4.5214 4.5214
angles (deg): 90.00 90.00 90.00
Space group Pm-3m (No. 221)
One atom of each set of equivalent atoms:
Mn 0.0000 0.0000 0.0000 (multiplicity 1)
Ga 0.0000 0.0000 0.5000 (multiplicity 3)
Ag 0.5000 0.5000 0.5000 (multiplicity 1)

Values from the calculation:
calculated volume	18.486	Å³ per atom
ΔE_f	333	meV per atom
magnetization	0.0	μB per formula unit

# Ta2CrNO5

A geometry-optimized Ta2CrNO5 structure (PBEsol, Alexandria).

a b c (Å): 4.6987 4.6900 9.0788
angles (deg): 90.00 90.34 90.00
Space group P2_1 (No. 4)
One atom of each set of equivalent atoms:
Ta 0.2332 0.0000 0.4331 (multiplicity 2)
Ta 0.2531 0.9924 0.0886 (multiplicity 2)
Cr 0.2477 0.9996 0.7507 (multiplicity 2)
N 0.0530 0.2003 0.5919 (multiplicity 2)
O 0.0531 0.1937 0.9186 (multiplicity 2)
O 0.0573 0.1985 0.2465 (multiplicity 2)
O 0.4461 0.7995 0.9205 (multiplicity 2)
O 0.4491 0.8038 0.5886 (multiplicity 2)
O 0.4542 0.7994 0.2441 (multiplicity 2)

Values from the calculation:
calculated volume	11.115	Å³ per atom
uncorrected formation energy	-2267.3	meV per atom
magnetization	3.0	μB per formula unit

Q: magnetization of number 1 (MnGa3Ag)?
A: 0.0 μB per formula unit

Q: Which of these has the lowest magnetization?
A: MnGa3Ag

Q: The lowest magnetization belongs to which entry?
A: MnGa3Ag

Q: Which of these has the highest magnetization?
A: Ta2CrNO5